Run 1
# PBE LuTlFeOs, optimized geometry
# * volume: 285.9 Å³ per cell
# * M_tot: 15.12 Bohr magnetons per cell
data_LuTlFeOs
_symmetry_space_group_name_H-M 'F -4 3 m'
_symmetry_Int_Tables_number 216
_symmetry_space_group_name_Hall 'F -4 2 3'
_cell_length_a 6.587
_cell_length_b 6.587
_cell_length_c 6.587
_cell_angle_alpha 90.00
_cell_angle_beta 90.00
_cell_angle_gamma 90.00
loop_
_atom_site_label
_atom_site_type_symbol
_atom_site_fract_x
_atom_site_fract_y
_atom_site_fract_z
Lu1 Lu 0.000 0.000 0.000
Tl1 Tl 0.250 0.250 0.250
Fe1 Fe 0.000 0.000 0.500
Os1 Os 0.250 0.250 0.750



Run 2
# PBE LuTlFeOs, optimized geometry
# * volume: 281.1 Å³ per cell
# * M_tot: 8.75 Bohr magnetons per cell
data_LuTlFeOs
_symmetry_space_group_name_H-M 'F -4 3 m'
_symmetry_Int_Tables_number 216
_symmetry_space_group_name_Hall 'F -4 2 3'
_cell_length_a 6.550
_cell_length_b 6.550
_cell_length_c 6.550
_cell_angle_alpha 90.00
_cell_angle_beta 90.00
_cell_angle_gamma 90.00
loop_
_atom_site_label
_atom_site_type_symbol
_atom_site_fract_x
_atom_site_fract_y
_atom_site_fract_z
Lu1 Lu 0.000 0.000 0.000
Tl1 Tl 0.000 0.000 0.500
Fe1 Fe 0.250 0.250 0.750
Os1 Os 0.250 0.250 0.250



It comes down to run 2, which is 0.7 kJ/mol of atoms more stable than the next structure.



Run 1
# PBE LuFeRePb, optimized geometry
# * volume: 287.8 Å³ per cell
# * M_tot: 8.42 Bohr magnetons per cell
data_LuFeRePb
_symmetry_space_group_name_H-M 'F -4 3 m'
_symmetry_Int_Tables_number 216
_symmetry_space_group_name_Hall 'F -4 2 3'
_cell_length_a 6.602
_cell_length_b 6.602
_cell_length_c 6.602
_cell_angle_alpha 90.00
_cell_angle_beta 90.00
_cell_angle_gamma 90.00
loop_
_atom_site_label
_atom_site_type_symbol
_atom_site_fract_x
_atom_site_fract_y
_atom_site_fract_z
Lu1 Lu 0.000 0.000 0.000
Fe1 Fe 0.250 0.250 0.750
Re1 Re 0.250 0.250 0.250
Pb1 Pb 0.000 0.000 0.500



Run 2
# PBE LuFeRePb, optimized geometry
# * volume: 293.0 Å³ per cell
# * M_tot: 15.61 Bohr magnetons per cell
data_LuFeRePb
_symmetry_space_group_name_H-M 'F -4 3 m'
_symmetry_Int_Tables_number 216
_symmetry_space_group_name_Hall 'F -4 2 3'
_cell_length_a 6.642
_cell_length_b 6.642
_cell_length_c 6.642
_cell_angle_alpha 90.00
_cell_angle_beta 90.00
_cell_angle_gamma 90.00
loop_
_atom_site_label
_atom_site_type_symbol
_atom_site_fract_x
_atom_site_fract_y
_atom_site_fract_z
Lu1 Lu 0.000 0.000 0.000
Fe1 Fe 0.000 0.000 0.500
Re1 Re 0.250 0.250 0.750
Pb1 Pb 0.250 0.250 0.250



It comes down to run 1, which is 5.4 kJ/mol of atoms more stable than the next structure.



Run 1
# PBE LuFeTcPb, optimized geometry
# * volume: 302.6 Å³ per cell
# * M_tot: 16.02 Bohr magnetons per cell
data_LuFeTcPb
_symmetry_space_group_name_H-M 'F -4 3 m'
_symmetry_Int_Tables_number 216
_symmetry_space_group_name_Hall 'F -4 2 3'
_cell_length_a 6.714
_cell_length_b 6.714
_cell_length_c 6.714
_cell_angle_alpha 90.00
_cell_angle_beta 90.00
_cell_angle_gamma 90.00
loop_
_atom_site_label
_atom_site_type_symbol
_atom_site_fract_x
_atom_site_fract_y
_atom_site_fract_z
Lu1 Lu 0.000 0.000 0.000
Fe1 Fe 0.000 0.000 0.500
Tc1 Tc 0.250 0.250 0.750
Pb1 Pb 0.250 0.250 0.250



Run 2
# PBE LuFeTcPb, optimized geometry
# * volume: 289.2 Å³ per cell
# * M_tot: 7.56 Bohr magnetons per cell
data_LuFeTcPb
_symmetry_space_group_name_H-M 'F -4 3 m'
_symmetry_Int_Tables_number 216
_symmetry_space_group_name_Hall 'F -4 2 3'
_cell_length_a 6.613
_cell_length_b 6.613
_cell_length_c 6.613
_cell_angle_alpha 90.00
_cell_angle_beta 90.00
_cell_angle_gamma 90.00
loop_
_atom_site_label
_atom_site_type_symbol
_atom_site_fract_x
_atom_site_fract_y
_atom_site_fract_z
Lu1 Lu 0.000 0.000 0.000
Fe1 Fe 0.250 0.250 0.750
Tc1 Tc 0.250 0.250 0.250
Pb1 Pb 0.000 0.000 0.500



It comes down to run 2, which is 11.4 kJ/mol of atoms more stable than the next structure.



Run 1
# PBE LuZnFePt, optimized geometry
# * volume: 272.8 Å³ per cell
# * M_tot: 12.01 Bohr magnetons per cell
data_LuZnFePt
_symmetry_space_group_name_H-M 'F -4 3 m'
_symmetry_Int_Tables_number 216
_symmetry_space_group_name_Hall 'F -4 2 3'
_cell_length_a 6.485
_cell_length_b 6.485
_cell_length_c 6.485
_cell_angle_alpha 90.00
_cell_angle_beta 90.00
_cell_angle_gamma 90.00
loop_
_atom_site_label
_atom_site_type_symbol
_atom_site_fract_x
_atom_site_fract_y
_atom_site_fract_z
Lu1 Lu 0.000 0.000 0.000
Zn1 Zn 0.250 0.250 0.250
Fe1 Fe 0.000 0.000 0.500
Pt1 Pt 0.250 0.250 0.750



Run 2
# PBE LuZnFePt, optimized geometry
# * volume: 264.6 Å³ per cell
# * M_tot: 8.26 Bohr magnetons per cell
data_LuZnFePt
_symmetry_space_group_name_H-M 'F -4 3 m'
_symmetry_Int_Tables_number 216
_symmetry_space_group_name_Hall 'F -4 2 3'
_cell_length_a 6.420
_cell_length_b 6.420
_cell_length_c 6.420
_cell_angle_alpha 90.00
_cell_angle_beta 90.00
_cell_angle_gamma 90.00
loop_
_atom_site_label
_atom_site_type_symbol
_atom_site_fract_x
_atom_site_fract_y
_atom_site_fract_z
Lu1 Lu 0.000 0.000 0.000
Zn1 Zn 0.000 0.000 0.500
Fe1 Fe 0.250 0.250 0.750
Pt1 Pt 0.250 0.250 0.250



It comes down to run 2, which is 3.8 kJ/mol of atoms more stable than the next structure.



Run 1
# PBE RbLuFe, optimized geometry
# * volume: 417.5 Å³ per cell
# * M_tot: 10.26 Bohr magnetons per cell
data_RbLuFe
_symmetry_space_group_name_H-M 'F -4 3 m'
_symmetry_Int_Tables_number 216
_symmetry_space_group_name_Hall 'F -4 2 3'
_cell_length_a 7.474
_cell_length_b 7.474
_cell_length_c 7.474
_cell_angle_alpha 90.00
_cell_angle_beta 90.00
_cell_angle_gamma 90.00
loop_
_atom_site_label
_atom_site_type_symbol
_atom_site_fract_x
_atom_site_fract_y
_atom_site_fract_z
Rb1 Rb 0.000 0.000 0.000
Lu1 Lu 0.250 0.250 0.250
Fe1 Fe 0.250 0.250 0.750



Run 2
# PBE RbLuFe, optimized geometry
# * volume: 388.6 Å³ per cell
# * M_tot: 7.96 Bohr magnetons per cell
data_RbLuFe
_symmetry_space_group_name_H-M 'F -4 3 m'
_symmetry_Int_Tables_number 216
_symmetry_space_group_name_Hall 'F -4 2 3'
_cell_length_a 7.297
_cell_length_b 7.297
_cell_length_c 7.297
_cell_angle_alpha 90.00
_cell_angle_beta 90.00
_cell_angle_gamma 90.00
loop_
_atom_site_label
_atom_site_type_symbol
_atom_site_fract_x
_atom_site_fract_y
_atom_site_fract_z
Rb1 Rb 0.000 0.000 0.000
Lu1 Lu 0.000 0.000 0.500
Fe1 Fe 0.250 0.250 0.750



It comes down to run 2, which is 53.6 kJ/mol of atoms more stable than the next structure.



Run 1
# PBE LuFeReSb, optimized geometry
# * volume: 271.2 Å³ per cell
# * M_tot: 3.74 Bohr magnetons per cell
data_LuFeReSb
_symmetry_space_group_name_H-M 'F -4 3 m'
_symmetry_Int_Tables_number 216
_symmetry_space_group_name_Hall 'F -4 2 3'
_cell_length_a 6.473
_cell_length_b 6.473
_cell_length_c 6.473
_cell_angle_alpha 90.00
_cell_angle_beta 90.00
_cell_angle_gamma 90.00
loop_
_atom_site_label
_atom_site_type_symbol
_atom_site_fract_x
_atom_site_fract_y
_atom_site_fract_z
Lu1 Lu 0.000 0.000 0.000
Fe1 Fe 0.250 0.250 0.750
Re1 Re 0.250 0.250 0.250
Sb1 Sb 0.000 0.000 0.500



Run 2
# PBE LuFeReSb, optimized geometry
# * volume: 282.9 Å³ per cell
# * M_tot: 15.87 Bohr magnetons per cell
data_LuFeReSb
_symmetry_space_group_name_H-M 'F -4 3 m'
_symmetry_Int_Tables_number 216
_symmetry_space_group_name_Hall 'F -4 2 3'
_cell_length_a 6.565
_cell_length_b 6.565
_cell_length_c 6.565
_cell_angle_alpha 90.00
_cell_angle_beta 90.00
_cell_angle_gamma 90.00
loop_
_atom_site_label
_atom_site_type_symbol
_atom_site_fract_x
_atom_site_fract_y
_atom_site_fract_z
Lu1 Lu 0.000 0.000 0.000
Fe1 Fe 0.000 0.000 0.500
Re1 Re 0.250 0.250 0.750
Sb1 Sb 0.250 0.250 0.250



It comes down to run 1, which is 25.6 kJ/mol of atoms more stable than the next structure.



Run 1
# PBE Lu3Sc3FeSb2, optimized geometry
# * volume: 212.2 Å³ per cell
# * M_tot: 0.74 Bohr magnetons per cell
data_Lu3Sc3FeSb2
_symmetry_space_group_name_H-M 'P -6 2 m'
_symmetry_Int_Tables_number 189
_symmetry_space_group_name_Hall 'P -6 -2'
_cell_length_a 7.9055
_cell_length_b 7.9055
_cell_length_c 3.9198
_cell_angle_alpha 90.00
_cell_angle_beta 90.00
_cell_angle_gamma 120.00
loop_
_atom_site_label
_atom_site_type_symbol
_atom_site_fract_x
_atom_site_fract_y
_atom_site_fract_z
Lu1 Lu 0.0000 0.2370 0.0000
Sc1 Sc 0.0000 0.6091 0.5000
Fe1 Fe 0.0000 0.0000 0.5000
Sb1 Sb 0.3333 0.6667 0.0000



Run 2
# PBE Lu3Sc3FeSb2, optimized geometry
# * volume: 210.8 Å³ per cell
# * M_tot: 0.58 Bohr magnetons per cell
data_Lu3Sc3FeSb2
_symmetry_space_group_name_H-M 'P -6 2 m'
_symmetry_Int_Tables_number 189
_symmetry_space_group_name_Hall 'P -6 -2'
_cell_length_a 7.7660
_cell_length_b 7.7660
_cell_length_c 4.0360
_cell_angle_alpha 90.00
_cell_angle_beta 90.00
_cell_angle_gamma 120.00
loop_
_atom_site_label
_atom_site_type_symbol
_atom_site_fract_x
_atom_site_fract_y
_atom_site_fract_z
Lu1 Lu 0.0000 0.6113 0.0000
Sc1 Sc 0.0000 0.2273 0.5000
Fe1 Fe 0.0000 0.0000 0.0000
Sb1 Sb 0.3333 0.6667 0.5000



It comes down to run 2, which is 8.4 kJ/mol of atoms more stable than the next structure.



Run 1
# PBE LuFeTcSb, optimized geometry
# * volume: 268.6 Å³ per cell
# * M_tot: 3.65 Bohr magnetons per cell
data_LuFeTcSb
_symmetry_space_group_name_H-M 'F -4 3 m'
_symmetry_Int_Tables_number 216
_symmetry_space_group_name_Hall 'F -4 2 3'
_cell_length_a 6.452
_cell_length_b 6.452
_cell_length_c 6.452
_cell_angle_alpha 90.00
_cell_angle_beta 90.00
_cell_angle_gamma 90.00
loop_
_atom_site_label
_atom_site_type_symbol
_atom_site_fract_x
_atom_site_fract_y
_atom_site_fract_z
Lu1 Lu 0.000 0.000 0.000
Fe1 Fe 0.250 0.250 0.750
Tc1 Tc 0.250 0.250 0.250
Sb1 Sb 0.000 0.000 0.500



Run 2
# PBE LuFeTcSb, optimized geometry
# * volume: 294.4 Å³ per cell
# * M_tot: 17.93 Bohr magnetons per cell
data_LuFeTcSb
_symmetry_space_group_name_H-M 'F -4 3 m'
_symmetry_Int_Tables_number 216
_symmetry_space_group_name_Hall 'F -4 2 3'
_cell_length_a 6.652
_cell_length_b 6.652
_cell_length_c 6.652
_cell_angle_alpha 90.00
_cell_angle_beta 90.00
_cell_angle_gamma 90.00
loop_
_atom_site_label
_atom_site_type_symbol
_atom_site_fract_x
_atom_site_fract_y
_atom_site_fract_z
Lu1 Lu 0.000 0.000 0.000
Fe1 Fe 0.000 0.000 0.500
Tc1 Tc 0.250 0.250 0.750
Sb1 Sb 0.250 0.250 0.250



It comes down to run 1, which is 29.3 kJ/mol of atoms more stable than the next structure.



Run 1
# PBE LuScFeSi2, optimized geometry
# * volume: 340.6 Å³ per cell
# * M_tot: 0.21 Bohr magnetons per cell
data_LuScFeSi2
_symmetry_space_group_name_H-M 'C 1 2/m 1'
_symmetry_Int_Tables_number 12
_cell_length_a 10.033
_cell_length_b 4.049
_cell_length_c 9.627
_cell_angle_alpha 90.00
_cell_angle_beta 119.42
_cell_angle_gamma 90.00
loop_
_symmetry_equiv_pos_as_xyz
'x,y,z'
'-x,-y,-z'
'-x,y,-z'
'x,-y,z'
'x+1/2,y+1/2,z'
'-x+1/2,-y+1/2,-z'
'-x+1/2,y+1/2,-z'
'x+1/2,-y+1/2,z'
loop_
_atom_site_label
_atom_site_type_symbol
_atom_site_fract_x
_atom_site_fract_y
_atom_site_fract_z
Lu1 Lu 0.005 0.000 0.176
Sc1 Sc 0.183 0.000 0.606
Fe1 Fe 0.227 0.500 0.873
Si1 Si 0.006 0.500 0.377
Si2 Si 0.152 0.500 0.067



Run 2
# PBE LuScFeSi2, optimized geometry
# * volume: 338.0 Å³ per cell
# * M_tot: 0.11 Bohr magnetons per cell
data_LuScFeSi2
_symmetry_space_group_name_H-M 'C 1 2/m 1'
_symmetry_Int_Tables_number 12
_cell_length_a 10.038
_cell_length_b 4.011
_cell_length_c 9.527
_cell_angle_alpha 90.00
_cell_angle_beta 118.23
_cell_angle_gamma 90.00
loop_
_symmetry_equiv_pos_as_xyz
'x,y,z'
'-x,-y,-z'
'-x,y,-z'
'x,-y,z'
'x+1/2,y+1/2,z'
'-x+1/2,-y+1/2,-z'
'-x+1/2,y+1/2,-z'
'x+1/2,-y+1/2,z'
loop_
_atom_site_label
_atom_site_type_symbol
_atom_site_fract_x
_atom_site_fract_y
_atom_site_fract_z
Lu1 Lu 0.190 0.000 0.111
Sc1 Sc 0.002 0.000 0.331
Fe1 Fe 0.232 0.500 0.375
Si1 Si 0.004 0.500 0.870
Si2 Si 0.144 0.500 0.560



It comes down to run 2, which is 0.7 kJ/mol of atoms more stable than the next structure.



Run 1
# PBE LuFeSiW, optimized geometry
# * volume: 257.1 Å³ per cell
# * M_tot: 10.82 Bohr magnetons per cell
data_LuFeSiW
_symmetry_space_group_name_H-M 'F -4 3 m'
_symmetry_Int_Tables_number 216
_symmetry_space_group_name_Hall 'F -4 2 3'
_cell_length_a 6.358
_cell_length_b 6.358
_cell_length_c 6.358
_cell_angle_alpha 90.00
_cell_angle_beta 90.00
_cell_angle_gamma 90.00
loop_
_atom_site_label
_atom_site_type_symbol
_atom_site_fract_x
_atom_site_fract_y
_atom_site_fract_z
Lu1 Lu 0.000 0.000 0.000
Fe1 Fe 0.000 0.000 0.500
Si1 Si 0.250 0.250 0.250
W1 W 0.250 0.250 0.750



Run 2
# PBE LuFeSiW, optimized geometry
# * volume: 245.3 Å³ per cell
# * M_tot: 6.61 Bohr magnetons per cell
data_LuFeSiW
_symmetry_space_group_name_H-M 'F -4 3 m'
_symmetry_Int_Tables_number 216
_symmetry_space_group_name_Hall 'F -4 2 3'
_cell_length_a 6.260
_cell_length_b 6.260
_cell_length_c 6.260
_cell_angle_alpha 90.00
_cell_angle_beta 90.00
_cell_angle_gamma 90.00
loop_
_atom_site_label
_atom_site_type_symbol
_atom_site_fract_x
_atom_site_fract_y
_atom_site_fract_z
Lu1 Lu 0.000 0.000 0.000
Fe1 Fe 0.250 0.250 0.750
Si1 Si 0.000 0.000 0.500
W1 W 0.250 0.250 0.250



It comes down to run 2, which is 14.2 kJ/mol of atoms more stable than the next structure.



Run 1
# PBE LuFeTcSn, optimized geometry
# * volume: 292.5 Å³ per cell
# * M_tot: 15.93 Bohr magnetons per cell
data_LuFeTcSn
_symmetry_space_group_name_H-M 'F -4 3 m'
_symmetry_Int_Tables_number 216
_symmetry_space_group_name_Hall 'F -4 2 3'
_cell_length_a 6.638
_cell_length_b 6.638
_cell_length_c 6.638
_cell_angle_alpha 90.00
_cell_angle_beta 90.00
_cell_angle_gamma 90.00
loop_
_atom_site_label
_atom_site_type_symbol
_atom_site_fract_x
_atom_site_fract_y
_atom_site_fract_z
Lu1 Lu 0.000 0.000 0.000
Fe1 Fe 0.000 0.000 0.500
Tc1 Tc 0.250 0.250 0.750
Sn1 Sn 0.250 0.250 0.250



Run 2
# PBE LuFeTcSn, optimized geometry
# * volume: 275.7 Å³ per cell
# * M_tot: 7.59 Bohr magnetons per cell
data_LuFeTcSn
_symmetry_space_group_name_H-M 'F -4 3 m'
_symmetry_Int_Tables_number 216
_symmetry_space_group_name_Hall 'F -4 2 3'
_cell_length_a 6.508
_cell_length_b 6.508
_cell_length_c 6.508
_cell_angle_alpha 90.00
_cell_angle_beta 90.00
_cell_angle_gamma 90.00
loop_
_atom_site_label
_atom_site_type_symbol
_atom_site_fract_x
_atom_site_fract_y
_atom_site_fract_z
Lu1 Lu 0.000 0.000 0.000
Fe1 Fe 0.250 0.250 0.750
Tc1 Tc 0.250 0.250 0.250
Sn1 Sn 0.000 0.000 0.500



It comes down to run 2, which is 19.7 kJ/mol of atoms more stable than the next structure.



Run 1
# PBE LuZnFeSn, optimized geometry
# * volume: 288.3 Å³ per cell
# * M_tot: 6.61 Bohr magnetons per cell
data_LuZnFeSn
_symmetry_space_group_name_H-M 'F -4 3 m'
_symmetry_Int_Tables_number 216
_symmetry_space_group_name_Hall 'F -4 2 3'
_cell_length_a 6.606
_cell_length_b 6.606
_cell_length_c 6.606
_cell_angle_alpha 90.00
_cell_angle_beta 90.00
_cell_angle_gamma 90.00
loop_
_atom_site_label
_atom_site_type_symbol
_atom_site_fract_x
_atom_site_fract_y
_atom_site_fract_z
Lu1 Lu 0.000 0.000 0.000
Zn1 Zn 0.250 0.250 0.250
Fe1 Fe 0.250 0.250 0.750
Sn1 Sn 0.000 0.000 0.500



Run 2
# PBE LuZnFeSn, optimized geometry
# * volume: 301.1 Å³ per cell
# * M_tot: 9.49 Bohr magnetons per cell
data_LuZnFeSn
_symmetry_space_group_name_H-M 'F -4 3 m'
_symmetry_Int_Tables_number 216
_symmetry_space_group_name_Hall 'F -4 2 3'
_cell_length_a 6.703
_cell_length_b 6.703
_cell_length_c 6.703
_cell_angle_alpha 90.00
_cell_angle_beta 90.00
_cell_angle_gamma 90.00
loop_
_atom_site_label
_atom_site_type_symbol
_atom_site_fract_x
_atom_site_fract_y
_atom_site_fract_z
Lu1 Lu 0.000 0.000 0.000
Zn1 Zn 0.250 0.250 0.750
Fe1 Fe 0.000 0.000 0.500
Sn1 Sn 0.250 0.250 0.250



It comes down to run 1, which is 1.9 kJ/mol of atoms more stable than the next structure.